[1]
DFT (PBE-GGA) results for crystalline NaSnCl2 at its relaxed geometry.

Summary:
**Formation energy (no corrections)**: -0.79 eV per atom
**Magnetic moment**: 0.00 μB/cell
**Mass density**: 3.57 g cm⁻³
**Symmetry**: No. 225
**Total energy**: -0.2240 Ry per atom

Cell: 5.191 5.191 5.191 Å, 60.00 60.00 60.00°
Atoms (fractional coordinates):
Sn  0.500  0.500  0.500
Na  0.000  0.000  0.000
Cl  0.750  0.750  0.750
Cl  0.250  0.250  0.250

[2]
DFT (PBE-GGA) results for crystalline TaCdIr at its relaxed geometry.

Summary:
**Magnetic moment**: 0.80 μB/cell
**Mass density**: 13.20 g cm⁻³
**Symmetry**: No. 216
**Total energy**: -0.5193 Ry per atom
**Energy of formation**: 0.144 eV/atom

Cell: 4.420 4.420 4.420 Å, 60.00 60.00 60.00°
Site moments in Bohr magnetons follow the coordinates.
Atoms (fractional coordinates):
Ir  0.750  0.750  0.750  0.10
Cd  0.500  0.500  0.500  0.04
Ta  0.000  0.000  0.000  0.40

[3]
DFT (PBE-GGA) results for crystalline Pm6DyY2Sc at its relaxed geometry.

Summary:
**Magnetic moment**: 0.00 μB/cell
**Mass density**: 6.32 g cm⁻³
**Symmetry**: No. 15
**Total energy**: -0.3753 Ry per atom
**Energy of formation**: 0.130 eV/atom

Cell: 9.275 8.964 8.964 Å, 117.33 92.63 92.63°
Atoms (fractional coordinates):
Y  0.450  0.792  0.694
Y  0.050  0.306  0.208
Y  0.950  0.694  0.792
Y  0.550  0.208  0.306
Dy  0.250  0.970  0.030
Dy  0.750  0.030  0.970
Pm  0.609  0.480  0.713
Pm  0.697  0.989  0.557
Pm  0.197  0.557  0.989
Pm  0.803  0.443  0.011
Pm  0.054  0.123  0.773
Pm  0.109  0.713  0.480
Pm  0.303  0.011  0.443
Pm  0.391  0.520  0.287
Pm  0.554  0.773  0.123
Pm  0.891  0.287  0.520
Pm  0.446  0.227  0.877
Pm  0.946  0.877  0.227
Sc  0.750  0.577  0.423
Sc  0.250  0.423  0.577

[4]
DFT (PBE-GGA) results for crystalline MgTiMo2Ru at its relaxed geometry.

Summary:
**Magnetic moment**: 0.00 μB/cell
**Mass density**: 6.59 g cm⁻³
**Symmetry**: No. 123
**Total energy**: -0.4645 Ry per atom
**Energy of formation**: 1.765 eV/atom

Cell: 4.570 4.407 4.570 Å, 90.00 90.00 90.00°
Atoms (fractional coordinates):
Mo  0.000  0.000  0.500
Mo  0.500  0.000  0.000
Mg  0.000  0.000  0.000
Ru  0.000  0.500  0.000
Ti  0.500  0.500  0.500